(1)
# AlGaSn

An optimized crystal structure of AlGaSn (GGA-PBE, Alexandria).

ΔE to the lowest computed polymorph = 39 meV per atom
raw total energy = -3.488 eV/atom

Structure (CIF):
```
data_AlGaSn
_symmetry_space_group_name_H-M 'P 1'
_symmetry_Int_Tables_number 1
_cell_length_a 3.258
_cell_length_b 3.258
_cell_length_c 6.412
_cell_angle_alpha 104.72
_cell_angle_beta 104.72
_cell_angle_gamma 90.00
loop_
_symmetry_equiv_pos_as_xyz
'x,y,z'
loop_
_atom_site_label
_atom_site_type_symbol
_atom_site_fract_x
_atom_site_fract_y
_atom_site_fract_z
_atom_site_occupancy
Sn1 Sn 0.004 0.004 0.008 1
Ga1 Ga 0.317 0.317 0.633 1
Al1 Al 0.679 0.679 0.359 1
```

=====

(2)
# Al2Ga6Sn

An optimized crystal structure of Al2Ga6Sn (GGA-PBE, Alexandria).

raw total energy = -3.162 eV/atom

Structure (CIF):
```
data_Al2Ga6Sn
_symmetry_space_group_name_H-M 'P 1'
_symmetry_Int_Tables_number 1
_cell_length_a 4.988
_cell_length_b 4.988
_cell_length_c 9.244
_cell_angle_alpha 90.00
_cell_angle_beta 90.00
_cell_angle_gamma 120.00
loop_
_symmetry_equiv_pos_as_xyz
'x,y,z'
loop_
_atom_site_label
_atom_site_type_symbol
_atom_site_fract_x
_atom_site_fract_y
_atom_site_fract_z
_atom_site_occupancy
Al1 Al 0.667 0.333 0.500 1
Al2 Al 0.333 0.667 0.500 1
Ga1 Ga 0.342 0.342 0.745 1
Ga2 Ga 0.658 0.000 0.745 1
Ga3 Ga 0.000 0.658 0.745 1
Ga4 Ga 0.342 0.000 0.255 1
Ga5 Ga 0.000 0.342 0.255 1
Ga6 Ga 0.658 0.658 0.255 1
Sn1 Sn 0.000 0.000 0.000 1
```

=====

(3)
# AlGa2Sn

An optimized crystal structure of AlGa2Sn (GGA-PBE, Alexandria).

ΔE to the lowest computed polymorph = 0 meV per atom
raw total energy = -3.384 eV/atom

Structure (CIF):
```
data_AlGa2Sn
_symmetry_space_group_name_H-M 'P 1'
_symmetry_Int_Tables_number 1
_cell_length_a 2.996
_cell_length_b 3.158
_cell_length_c 10.869
_cell_angle_alpha 70.86
_cell_angle_beta 90.00
_cell_angle_gamma 118.31
loop_
_symmetry_equiv_pos_as_xyz
'x,y,z'
loop_
_atom_site_label
_atom_site_type_symbol
_atom_site_fract_x
_atom_site_fract_y
_atom_site_fract_z
_atom_site_occupancy
Al1 Al 0.000 0.000 0.500 1
Ga1 Ga 0.822 0.644 0.285 1
Ga2 Ga 0.178 0.356 0.715 1
Sn1 Sn 0.000 0.000 0.000 1
```

=====

(4)
# AlGa2Sn

An optimized crystal structure of AlGa2Sn (GGA-PBE, Alexandria).

ΔE to the lowest computed polymorph = 69 meV per atom
raw total energy = -3.315 eV/atom

Structure (CIF):
```
data_AlGa2Sn
_symmetry_space_group_name_H-M 'P 1'
_symmetry_Int_Tables_number 1
_cell_length_a 3.825
_cell_length_b 3.825
_cell_length_c 7.254
_cell_angle_alpha 74.71
_cell_angle_beta 74.71
_cell_angle_gamma 60.00
loop_
_symmetry_equiv_pos_as_xyz
'x,y,z'
loop_
_atom_site_label
_atom_site_type_symbol
_atom_site_fract_x
_atom_site_fract_y
_atom_site_fract_z
_atom_site_occupancy
Sn1 Sn 0.500 0.500 0.500 1
Ga1 Ga 0.259 0.259 0.224 1
Ga2 Ga 0.741 0.741 0.776 1
Al1 Al 0.000 0.000 0.000 1
```